# Ho2ZnGa4Rh3 | Alexandria | PBE | relaxed
# **N(E_F)**: 5.32 states/eV/cell
# **Raw total energy**: -5.149 eV/atom
# **Space group**: P-4m2, No. 115
# **Energy of formation from the pure elements**: -0.69 eV/atom
# **Total moment**: 0.000 μB/f.u.
data_Ho2ZnGa4Rh3
_symmetry_space_group_name_H-M 'P 1'
_symmetry_Int_Tables_number 1
_cell_length_a 3.9531
_cell_length_b 3.9531
_cell_length_c 11.4883
_cell_angle_alpha 90.00
_cell_angle_beta 90.00
_cell_angle_gamma 90.00
loop_
_symmetry_equiv_pos_as_xyz
'x,y,z'
loop_
_atom_site_label
_atom_site_fract_x
_atom_site_fract_y
_atom_site_fract_z
Ho1 0.0000 0.5000 0.2393
Ho2 0.5000 0.0000 0.7607
Zn1 0.0000 0.0000 0.5000
Ga1 0.0000 0.0000 0.0000
Ga2 0.0000 0.5000 0.6396
Ga3 0.5000 0.0000 0.3604
Ga4 0.5000 0.5000 0.0000
Rh1 0.0000 0.5000 0.8579
Rh2 0.5000 0.0000 0.1421
Rh3 0.5000 0.5000 0.5000